Record 1
Compound: SmPS4
Source: OQMD via LeMat-Bulk
Functional: PBE-GGA
Structure: optimized geometry

Values from the calculation:
Total energy   -5.4967 eV per atom
Magnetization   0.00 μB/f.u.

Cell and atoms, written as POSCAR:
```
SmPS4
1.0
5.442 5.442 9.618
-10.884 0.000 0.000
0.000 -10.884 0.000
P S Sm
8 32 8
direct
0.000 0.750 0.212
0.500 0.288 0.250
0.500 0.788 0.250
0.000 0.250 0.288
0.000 0.750 0.712
0.500 0.212 0.750
0.500 0.712 0.750
0.000 0.250 0.788
0.496 0.386 0.088
0.504 0.890 0.092
0.823 0.164 0.096
0.996 0.908 0.110
0.004 0.592 0.114
0.323 0.596 0.159
0.323 0.096 0.164
0.823 0.659 0.227
0.177 0.336 0.273
0.677 0.273 0.336
0.677 0.773 0.341
0.996 0.088 0.386
0.004 0.412 0.390
0.177 0.841 0.404
0.496 0.886 0.408
0.504 0.390 0.412
0.496 0.610 0.588
0.504 0.114 0.592
0.823 0.159 0.596
0.996 0.588 0.610
0.004 0.912 0.614
0.323 0.227 0.659
0.323 0.727 0.664
0.823 0.664 0.727
0.177 0.341 0.773
0.677 0.904 0.836
0.677 0.404 0.841
0.996 0.408 0.886
0.004 0.092 0.890
0.177 0.836 0.904
0.496 0.110 0.908
0.504 0.614 0.912
0.750 0.375 0.125
0.750 0.875 0.125
0.250 0.125 0.375
0.250 0.625 0.375
0.750 0.375 0.625
0.750 0.875 0.625
0.250 0.125 0.875
0.250 0.625 0.875
```

Record 2
Compound: Sc2In3Hg3
Source: OQMD via LeMat-Bulk
Functional: PBE-GGA
Structure: optimized geometry

Values from the calculation:
Magnetization   0.01 μB/f.u.
Energy above the lowest structure with this stoichiometry   0.005 eV per atom

Cell and atoms, written as POSCAR:
```
Sc2In3Hg3
1.0
5.121 0.000 0.000
0.000 3.203 5.502
0.000 -3.203 5.502
Hg In Sc
3 3 2
direct
0.500 0.660 0.171
0.500 0.171 0.660
0.000 0.830 0.830
0.500 0.168 0.168
0.000 0.834 0.330
0.000 0.330 0.834
0.000 0.336 0.336
0.500 0.671 0.671
```

Record 3
Compound: LiCuReTeS2
Source: OQMD via LeMat-Bulk
Functional: PBE-GGA
Structure: optimized geometry

Values from the calculation:
Total energy   -5.1620 eV per atom
Magnetization   0.00 μB/f.u.

Cell and atoms, written as POSCAR:
```
LiCuReTeS2
1.0
1.664 -6.637 0.000
1.664 6.637 0.000
0.000 0.000 9.623
Cu Li Re S Te
2 2 2 4 2
direct
0.540 0.460 0.250
0.460 0.540 0.750
0.199 0.801 0.250
0.801 0.199 0.750
0.000 0.000 0.000
0.000 0.000 0.500
0.628 0.372 0.055
0.628 0.372 0.445
0.372 0.628 0.555
0.372 0.628 0.945
0.887 0.113 0.250
0.113 0.887 0.750
```

Record 4
Compound: InAgSeO
Source: OQMD via LeMat-Bulk
Functional: PBE-GGA
Structure: optimized geometry

Values from the calculation:
Energy above the lowest structure with this stoichiometry   0.000 eV per atom

Cell and atoms, written as POSCAR:
```
InAgSeO
1.0
5.633 0.000 0.042
0.000 5.630 0.000
-0.329 0.000 10.890
Ag In O Se
4 4 4 4
direct
0.001 0.339 0.302
0.708 0.592 0.497
0.292 0.092 0.503
0.999 0.839 0.698
0.003 0.824 0.093
0.504 0.324 0.094
0.496 0.824 0.906
0.997 0.324 0.907
0.749 0.074 0.000
0.251 0.574 0.000
0.247 0.073 0.002
0.753 0.573 0.998
0.694 0.641 0.269
0.304 0.033 0.276
0.696 0.533 0.724
0.306 0.141 0.731
```

Record 5
Compound: InAg3Te4Pb
Source: OQMD via LeMat-Bulk
Functional: PBE-GGA
Structure: optimized geometry

Values from the calculation:
Total energy   -3.1614 eV per atom

Cell and atoms, written as POSCAR:
```
InAg3Te4Pb
1.0
6.710 0.000 0.000
0.000 6.710 0.000
0.000 0.000 6.710
Ag In Pb Te
3 1 1 4
direct
0.500 0.500 0.000
0.500 0.000 0.500
0.000 0.500 0.500
0.000 0.000 0.000
0.500 0.500 0.500
0.241 0.241 0.241
0.759 0.759 0.241
0.759 0.241 0.759
0.241 0.759 0.759
```

Record 6
Compound: ErTmMo
Source: OQMD via LeMat-Bulk
Functional: PBE-GGA
Structure: optimized geometry

Values from the calculation:
Energy relative to the elements   1210 meV/atom
Magnetization   1.87 μB/f.u.
Energy above the lowest structure with this stoichiometry   0.000 eV per atom

Cell and atoms, written as POSCAR:
```
ErTmMo
1.0
0.000 3.447 3.447
3.447 0.000 3.447
3.447 3.447 0.000
Er Mo Tm
1 1 1
direct
0.250 0.250 0.250
0.750 0.750 0.750
0.000 0.000 0.000
```

Record 7
Compound: Tm2ScPbC
Source: OQMD via LeMat-Bulk
Functional: PBE-GGA
Structure: optimized geometry

Values from the calculation:
Total energy   -6.2370 eV per atom
Magnetization   0.01 μB/f.u.

Cell and atoms, written as POSCAR:
```
Tm2ScPbC
1.0
-1.826 -2.151 -3.912
3.632 -3.173 0.050
-2.472 -2.787 2.687
C Pb Sc Tm
1 1 1 2
direct
0.500 0.500 0.500
0.000 0.000 0.000
0.500 0.500 0.000
0.500 0.000 0.500
0.000 0.500 0.500
```

Record 8
Compound: SrGePt
Source: OQMD via LeMat-Bulk
Functional: PBE-GGA
Structure: optimized geometry

Values from the calculation:
Total energy   -3.8394 eV per atom
Magnetization   0.01 μB/f.u.

Cell and atoms, written as POSCAR:
```
SrGePt
1.0
0.000 3.469 3.469
3.469 0.000 3.469
3.469 3.469 0.000
Ge Pt Sr
1 1 1
direct
0.250 0.250 0.250
0.750 0.750 0.750
0.000 0.000 0.000
```